[1]
# TmSc2GaRu4 (PBE-GGA, relaxed)
# Fermi-level density of states = 0.764 states/eV per atom
# Total magnetic moment = 0.00 μB/f.u.
# Calculated total energy = -182.8 eV for the cell shown
data_TmSc2GaRu4
_chemical_formula_sum 'Tm3 Sc6 Ga3 Ru12'
_cell_length_a 4.5197
_cell_length_b 4.5197
_cell_length_c 22.2862
_cell_angle_alpha 90.00
_cell_angle_beta 90.00
_cell_angle_gamma 120.00
_symmetry_space_group_name_H-M 'R -3 m'
_symmetry_Int_Tables_number 166
_symmetry_space_group_name_Hall '-R 3 2"'
loop_
_atom_site_label
_atom_site_type_symbol
_atom_site_fract_x
_atom_site_fract_y
_atom_site_fract_z
Tm1 Tm 0.0000 0.0000 0.0000
Sc1 Sc 0.0000 0.0000 0.2450
Ga1 Ga 0.0000 0.0000 0.5000
Ru1 Ru 0.0000 0.0000 0.1288
Ru2 Ru 0.0000 0.0000 0.3794

---

[2]
# Sm2Dy2Hg7 (PBE-GGA, relaxed)
# Fermi-level density of states = 0.943 states/eV per atom
# Total magnetic moment = 0.00 μB/f.u.
# Calculated total energy = -43.7 eV for the cell shown
data_Sm2Dy2Hg7
_chemical_formula_sum 'Sm4 Dy4 Hg14'
_cell_length_a 8.577
_cell_length_b 10.977
_cell_length_c 7.088
_cell_angle_alpha 90.00
_cell_angle_beta 90.00
_cell_angle_gamma 90.00
_symmetry_space_group_name_H-M 'C m m m'
_symmetry_Int_Tables_number 65
_symmetry_space_group_name_Hall '-C 2 2'
loop_
_atom_site_label
_atom_site_type_symbol
_atom_site_fract_x
_atom_site_fract_y
_atom_site_fract_z
Sm1 Sm 0.201 0.000 0.000
Dy1 Dy 0.000 0.282 0.500
Hg1 Hg 0.000 0.000 0.500
Hg2 Hg 0.000 0.500 0.239
Hg3 Hg 0.250 0.250 0.208